## La3Ga3Co (PBE-GGA)

Data for La3Ga3Co after structural relaxation.

Values from the calculation:
The density of states at the Fermi level is 6.6 states/eV/f.u. For the total energy, the calculation gives -4.92 eV per atom. Its total magnetic moment is 0.0 μB/cell.

Cell: 11.909 3.905 15.413 Å, 90.00 106.70 90.00°
Space group C2/m (No. 12)
One atom of each set of equivalent atoms:
1 La 0.026 0.000 0.392 x4
2 La 0.122 0.000 0.920 x4
3 La 0.239 0.000 0.246 x4
4 Ga 0.024 0.500 0.232 x4
5 Ga 0.097 0.500 0.077 x4
6 Ga 0.186 0.500 0.539 x4
7 Co 0.206 0.500 0.374 x4